Material: YSc2Ga2
Method: DFT, GGA-PBE
State: optimized geometry

Unit cell a=8.1274 b=8.1274 c=3.3593 alpha=90.00 beta=90.00 gamma=90.00
Fractional positions:
Y: 0.0000 0.0000 0.0000
Y: 0.5000 0.5000 0.0000
Sc: 0.1444 0.3556 0.5000
Sc: 0.3556 0.8556 0.5000
Sc: 0.6444 0.1444 0.5000
Sc: 0.8556 0.6444 0.5000
Ga: 0.1590 0.6590 0.0000
Ga: 0.3410 0.1590 0.0000
Ga: 0.6590 0.8410 0.0000
Ga: 0.8410 0.3410 0.0000

Calculated values
- energy relative to the elements (eV/atom) = -0.50
- DFT total energy (eV per atom) = -5.5331
- energy above the lowest structure with this stoichiometry (meV per atom) = 0
- size of the total moment (μB per formula unit) = 0.0
- DOS(E_F) (states/eV per atom) = 0.686


Material: LaRu3
Method: DFT, GGA-PBE
State: optimized geometry

Unit cell a=4.7989 b=4.7989 c=3.0706 alpha=90.00 beta=90.00 gamma=90.00
Fractional positions:
La: 0.0000 0.0000 0.0000
Ru: 0.0000 0.5000 0.5000
Ru: 0.5000 0.0000 0.5000
Ru: 0.5000 0.5000 0.0000

Calculated values
- energy relative to the elements (eV/atom) = 0.45
- DFT total energy (eV per atom) = -7.7405
- size of the total moment (μB per formula unit) = 1.7
- DOS(E_F) (states/eV per atom) = 1.613


Material: CaTbPrHg
Method: DFT, GGA-PBE
State: optimized geometry

Unit cell a=5.5547 b=5.5547 c=5.5547 alpha=60.00 beta=60.00 gamma=60.00
Fractional positions:
Ca: 0.0000 0.0000 0.0000
Tb: 0.7500 0.7500 0.7500
Pr: 0.2500 0.2500 0.2500
Hg: 0.5000 0.5000 0.5000

Calculated values
- energy relative to the elements (eV/atom) = -0.07
- DFT total energy (eV per atom) = -3.0007
- energy above the lowest structure with this stoichiometry (meV per atom) = 173
- size of the total moment (μB per formula unit) = 0.0
- DOS(E_F) (states/eV per atom) = 1.242